3
Lattice="-1.629 2.135 1.318 1.713 -0.847 3.489 3.893 3.004 -3.450" Properties=species:S:1:pos:R:3 comment="BaLiTc PBEsol optimized geometry" polymorph_energy_ev_per_atom=0.000 n_ef_per_ev_fu=2.510 density_g_cm3=6.19 formation_energy_ev_per_atom=0.91 pbc="T T T"
Tc 2.344 2.173 -0.623
Li 1.679 2.161 1.968
Ba 3.932 4.250 1.369